# 1
A relaxed structure of Cd6IO12, computed with PBE-GGA.

Cell: 9.7730 9.7730 9.4483 Å, 90.00 90.00 120.00°
Last column: nearest neighbours and their distance in Å.
Space group R-3 (No. 148, hexagonal axes)
Unique sites:
Cd (0.0486, 0.7946, 0.1523) x18  5 O 2.20-2.35
I (0.0000, 0.0000, 0.5000) x3  6 O 1.92
O (0.0359, 0.8042, 0.9066) x18  4 Cd 2.20-2.34
O (0.0526, 0.8679, 0.3900) x18  1 I 1.92

---

# 2
A relaxed structure of AcSmHg5, computed with PBE-GGA.

- Formation energy from the elements: -0.307 eV per atom

Cell: 4.7223 4.7223 9.2256 Å, 90.00 90.00 90.00°
Last column: nearest neighbours and their distance in Å.
Space group P4/mmm (No. 123)
Unique sites:
Ac (0.0000, 0.0000, 0.0000) x1  8 Hg 3.34
Sm (0.5000, 0.5000, 0.5000) x1  12 Hg 3.26-3.34
Hg (0.0000, 0.0000, 0.5000) x1  8 Hg 3.26, 4 Sm 3.34
Hg (0.0000, 0.5000, 0.2562) x4  2 Sm 3.26, 6 Hg 3.26-3.34, 2 Ac 3.34

---

# 3
A relaxed structure of YScTc2, computed with PBE-GGA.

- Formation energy from the elements: 0.175 eV per atom
- Energy above the most stable polymorph in this dataset: 226 meV per atom

Cell: 3.3605 5.0065 8.8409 Å, 90.00 90.00 90.00°
Last column: nearest neighbours and their distance in Å.
Space group Immm (No. 71)
Unique sites:
Y (0.0000, 0.0000, 0.0000) x2  4 Tc 2.82, 4 Sc 3.01
Sc (0.0000, 0.0000, 0.5000) x2  4 Tc 2.74, 4 Y 3.01
Tc (0.0000, 0.5000, 0.2444) x4  2 Sc 2.74, 2 Y 2.82, 4 Tc 3.02

---

Asked for electronic total energy across the records above, the calculation gives -230.236; -12.486; -65.652 eV per cell in order.
Asked for density of states at the Fermi level across the records above, the calculation gives 0.56; 0.94; 0.88 states/eV per atom in order.